--- one ---
First-principles (PBE) data for an optimized crystal structure of CrWAu2, as listed in Alexandria via LeMat-Bulk.

Structure (POSCAR):
```
CrWAu2
1.0
4.1872 0.0000 0.0000
0.0000 2.8524 0.0165
0.0000 2.8139 5.4878
Au Cr W
2 1 1
Direct
0.0000 0.0016 0.9994 Au
0.0000 0.4984 0.5006 Au
0.5000 0.2500 0.2500 Cr
0.5000 0.7500 0.7500 W
```

Computed properties:
Its symmetry is Pmmm. As for the density of states at the Fermi level: 0.831 states/eV/atom.

***

--- two ---
First-principles (PBE) data for an optimized crystal structure of CrWAu2, as listed in Alexandria via LeMat-Bulk.

Structure (POSCAR):
```
CrWAu2
1.0
2.8295 0.0000 0.0000
0.0000 4.9307 -0.0830
0.0000 3.3229 4.6644
Au Cr W
2 1 1
Direct
0.0000 0.0000 0.0000 Au
0.5000 0.5000 0.0000 Au
0.5000 0.5000 0.5000 Cr
0.0000 0.0000 0.5000 W
```

Computed properties:
Its symmetry is P2/m. As for the density of states at the Fermi level: 0.700 states/eV/atom.

***

Which of them is most stable, and which least? Most stable: one; least stable: two.

***

--- one ---
First-principles (PBE) data for an optimized crystal structure of CrWAu2, as listed in Alexandria via LeMat-Bulk.

Structure (POSCAR):
```
CrWAu2
1.0
9.3870 -0.0743 -0.0435
8.9682 2.7735 -0.0435
8.9682 1.3188 2.4403
Au Cr W
2 1 1
Direct
0.0024 0.0024 0.0024 Au
0.2450 0.2450 0.2450 Au
0.4974 0.4974 0.4974 Cr
0.7552 0.7552 0.7552 W
```

Computed properties:
Its symmetry is R3m. As for the density of states at the Fermi level: 0.922 states/eV/atom.

***

--- two ---
First-principles (PBE) data for an optimized crystal structure of CrWAu2, as listed in Alexandria via LeMat-Bulk.

Structure (POSCAR):
```
CrWAu2
1.0
-3.0500 4.4267 -0.3074
-3.6441 0.7751 3.8875
5.1988 -0.5678 -1.2816
Au Cr W
2 1 1
Direct
0.0069 0.0069 0.0000 Au
0.7283 0.2283 0.5000 Au
0.4805 0.4805 0.0000 Cr
0.2842 0.7842 0.5000 W
```

Computed properties:
Its symmetry is Imm2. As for the density of states at the Fermi level: 0.639 states/eV/atom.

***

Which of them is most stable, and which least? Most stable: one; least stable: two.

***

--- one ---
First-principles (PBE) data for an optimized crystal structure of CrWAu2, as listed in Alexandria via LeMat-Bulk.

Structure (POSCAR):
```
CrWAu2
1.0
-3.3379 2.9718 0.8732
-1.1803 -1.8684 1.8469
2.7039 1.9492 3.7020
Au Cr W
2 1 1
Direct
0.0000 0.1248 0.9598 Au
0.5000 0.1252 0.2864 Au
0.0000 0.6249 0.4780 Cr
0.5000 0.6251 0.7758 W
```

Computed properties:
Its symmetry is Pmm2. As for the density of states at the Fermi level: 0.983 states/eV/atom.

***

--- two ---
First-principles (PBE) data for an optimized crystal structure of CrWAu2, as listed in Alexandria via LeMat-Bulk.

Structure (POSCAR):
```
CrWAu2
1.0
6.1846 0.0315 0.1091
-2.4518 4.3486 0.0230
1.2811 0.7137 2.4705
Au Cr W
2 1 1
Direct
0.0000 0.0000 0.0000 Au
0.5000 0.0000 0.5000 Au
0.0000 0.5000 0.5000 Cr
0.5000 0.5000 0.0000 W
```

Computed properties:
Its symmetry is C2/m. As for the density of states at the Fermi level: 0.802 states/eV/atom.

***

Which of them is most stable, and which least? Most stable: one; least stable: two.

***

--- one ---
First-principles (PBE) data for an optimized crystal structure of CrWAu2, as listed in Alexandria via LeMat-Bulk.

Structure (POSCAR):
```
CrWAu2
1.0
2.7764 -0.0195 0.0000
-0.9780 2.5985 0.0000
0.0000 0.0000 9.0483
Au Cr W
2 1 1
Direct
0.0000 0.0000 0.9903 Au
0.5000 0.5000 0.2689 Au
0.0000 0.0000 0.5165 Cr
0.5000 0.5000 0.7243 W
```

Computed properties:
Its symmetry is Cmm2. As for the density of states at the Fermi level: 0.917 states/eV/atom.

***

--- two ---
First-principles (PBE) data for an optimized crystal structure of CrWAu2, as listed in Alexandria via LeMat-Bulk.

Structure (POSCAR):
```
CrWAu2
1.0
-4.6135 1.9299 0.8746
-2.9741 0.3145 -4.1024
2.8343 -3.6406 2.1181
Au Cr W
2 1 1
Direct
0.9998 0.9998 0.0000 Au
0.5002 0.5002 0.0000 Au
0.7500 0.2500 0.5000 Cr
0.2500 0.7500 0.5000 W
```

Computed properties:
Its symmetry is I4/mmm. As for the density of states at the Fermi level: 0.775 states/eV/atom.

***

Which of them is most stable, and which least? Most stable: one; least stable: two.